La6C3ICl2 | PBE | relaxed

extended XYZ file:
```
12
Lattice="9.4951 -1.9523 0.0000 9.4951 1.9523 0.0000 -3.5057 0.0000 8.1106" Properties=species:S:1:pos:R:3 pbc="T T T"
La -0.4585 0.0000 1.6950
La 4.4396 0.0000 3.6416
La 3.4795 0.0000 7.1758
La 12.0049 0.0000 0.9348
La 11.0449 0.0000 4.4690
La 15.9430 0.0000 6.4157
C 2.0245 0.0000 2.6701
C 9.4951 0.0000 0.0000
C 13.4600 0.0000 5.4405
I 7.7422 0.0000 4.0553
Cl 0.2930 0.0000 6.7824
Cl 15.1915 0.0000 1.3283
```

- SG: No. 12
- VASP energy: -73.4 eV for the cell shown
- Uncorrected formation energy: -87.8 kJ per mole of atoms
- Magnetization: 0.00 μB/f.u.

Mo2CICl | PBE | relaxed

extended XYZ file:
```
5
Lattice="5.2136 0.0000 0.0000 0.0000 5.2136 0.0000 0.0000 0.0000 5.6409" Properties=species:S:1:pos:R:3 pbc="T T T"
Mo 0.0000 2.6068 0.0000
Mo 2.6068 0.0000 0.0000
C 0.0000 0.0000 2.8205
I 2.6068 2.6068 0.0000
Cl 2.6068 2.6068 2.8205
```

- SG: No. 123
- VASP energy: -18.9 eV for the cell shown
- Uncorrected formation energy: 297.7 kJ per mole of atoms
- Magnetization: 7.97 μB/f.u.